Entry 1:
Computed, not measured: an optimized crystal structure of Zn5Pd6Rh at the PBE level of DFT.

Unit cell a=4.1130 b=12.3413 c=6.8925 alpha=90.00 beta=90.00 gamma=90.00
Space group Cmmm (No. 65)
Asymmetric unit:
Zn 0.0000 0.0000 0.0000 x2
Zn 0.0000 0.3333 0.0000 x4
Zn 0.0000 0.3451 0.5000 x4
Pd 0.0000 0.1700 0.2463 x8
Pd 0.0000 0.5000 0.2332 x4
Rh 0.0000 0.0000 0.5000 x2

Calculated values
V: 174.9 Å³/f.u.
magnetic moment: 0.00 μB per cell
electronic total energy: -4.179 eV/atom


Entry 2:
Computed, not measured: an optimized crystal structure of Cu4Pt4Au5 at the PBE level of DFT.

Unit cell a=10.0213 b=10.0213 c=4.0305 alpha=90.00 beta=90.00 gamma=90.00
Space group I4/m (No. 87)
Asymmetric unit:
Cu 0.1530 0.7660 0.0000 x8
Pt 0.0797 0.3841 0.0000 x8
Au 0.0000 0.0000 0.0000 x2
Au 0.0488 0.1956 0.5000 x8

Calculated values
V: 202.4 Å³/f.u.
magnetic moment: 0.00 μB per cell
electronic total energy: -4.423 eV/atom


Entry 3:
Computed, not measured: an optimized crystal structure of Na2MnAuBr6 at the PBE level of DFT.

Unit cell a=7.1715 b=7.3115 c=7.5165 alpha=67.23 beta=65.87 gamma=63.99
Space group P1 (No. 1)
Asymmetric unit:
Na 0.0000 0.0000 0.0000 x1
Na 0.4344 0.4390 0.5948 x1
Mn 0.6515 0.6724 0.9584 x1
Au 0.2421 0.0739 0.2629 x1
Br 0.3390 0.5625 0.1874 x1
Br 0.4275 0.0079 0.7481 x1
Br 0.6151 0.8344 0.2329 x1
Br 0.7602 0.4226 0.7616 x1
Br 0.8650 0.2673 0.2765 x1
Br 0.9966 0.7390 0.7783 x1

Calculated values
V: 312.7 Å³/f.u.
magnetic moment: 3.99 μB per cell
formation energy (no corrections): -0.865 eV/atom


Entry 4:
Computed, not measured: an optimized crystal structure of Rb2Er2TiSe6 at the PBE level of DFT.

Unit cell a=6.9618 b=11.9520 c=8.5361 alpha=90.00 beta=106.60 gamma=90.00
Space group C2/m (No. 12)
Asymmetric unit:
Rb 0.0000 0.1721 0.0000 x4
Er 0.0000 0.3326 0.5000 x4
Ti 0.0000 0.0000 0.5000 x2
Se 0.2217 0.1539 0.6872 x8
Se 0.2437 0.0000 0.3150 x4

Calculated values
V: 340.3 Å³/f.u.
magnetic moment: 0.00 μB per cell
formation energy (no corrections): -1.537 eV/atom


Entry 5:
Computed, not measured: an optimized crystal structure of HfPtS2N at the PBE level of DFT.

Unit cell a=4.9812 b=4.9812 c=3.9556 alpha=90.00 beta=90.00 gamma=90.00
Space group P4/mmm (No. 123)
Asymmetric unit:
Hf 0.0000 0.0000 0.0000 x1
Pt 0.5000 0.5000 0.5000 x1
S 0.0000 0.5000 0.0000 x2
N 0.0000 0.0000 0.5000 x1

Calculated values
V: 98.1 Å³/f.u.
magnetic moment: 0.00 μB per cell
formation energy (no corrections): 0.401 eV/atom


Entry 6:
Computed, not measured: an optimized crystal structure of Tc3GeP at the PBE level of DFT.

Unit cell a=4.3771 b=4.3771 c=4.3771 alpha=90.00 beta=90.00 gamma=90.00
Space group Pm-3m (No. 221)
Asymmetric unit:
Tc 0.0000 0.0000 0.5000 x3
Ge 0.5000 0.5000 0.5000 x1
P 0.0000 0.0000 0.0000 x1

Calculated values
V: 83.9 Å³/f.u.
magnetic moment: 1.71 μB per cell
electronic total energy: -7.691 eV/atom